Record 1
Computed, not measured: a geometry-optimized AcBe2Au6 structure at the PBE level of DFT.

Results
total DFT energy (no corrections) = -0.139 Ha/atom
D(E_F) = 3.35 states/eV/cell

abc: 6.041 6.041 6.022
angles: 90.00 90.00 120.00
Atoms (fractional coordinates):
Ac 0.000 0.000 0.000
Be 0.333 0.667 0.500
Be 0.667 0.333 0.500
Au 0.500 0.000 0.243
Au 0.500 0.500 0.243
Au 0.000 0.500 0.243
Au 0.500 0.500 0.757
Au 0.000 0.500 0.757
Au 0.500 0.000 0.757



Record 2
Computed, not measured: a geometry-optimized Ac2BeAu structure at the PBE level of DFT.

Results
polymorph energy (0 for the lowest one) = 0 meV per atom
D(E_F) = 2.99 states/eV/cell

abc: 3.843 3.843 7.711
angles: 90.00 90.00 90.00
Atoms (fractional coordinates):
Be 0.500 0.500 0.000
Ac 0.000 0.000 0.759
Ac 0.000 0.000 0.241
Au 0.500 0.500 0.500



Record 3
Computed, not measured: a geometry-optimized AcBe2Au10 structure at the PBE level of DFT.

Results
total DFT energy (no corrections) = -0.135 Ha/atom
D(E_F) = 2.83 states/eV/cell

abc: 5.457 7.798 6.707
angles: 81.82 66.00 69.52
Atoms (fractional coordinates):
Ac 0.000 0.000 0.000
Be 0.000 0.500 0.000
Be 0.500 0.500 0.000
Au 0.331 0.642 0.696
Au 0.669 0.358 0.304
Au 0.973 0.358 0.696
Au 0.027 0.642 0.304
Au 0.000 0.000 0.500
Au 0.500 0.000 0.500
Au 0.259 0.256 0.226
Au 0.741 0.744 0.774
Au 0.515 0.744 0.226
Au 0.485 0.256 0.774



| no. | magnetization (μB/f.u.) |
| --- | --- |
| 1 | 0.000 |
| 2 | 0.000 |
| 3 | 0.000 |